The following is a PBE calculation of a relaxed SmY2Ho2Mg2 crystal, from Alexandria. Values from VASP.

Energy relative to the elements (eV/atom): -0.023
Symmetry: R-3m, No. 166
Energy (eV/atom): -4.308
N(E_F) (states/eV/atom): 1.084
Magnetization (μB per atom): 0.000

```
&SYSTEM
  ibrav = 0, nat = 7, ntyp = 4
/
ATOMIC_SPECIES
Mg 24.30 Mg.upf
Y 88.91 Y.upf
Ho 164.93 Ho.upf
Sm 150.36 Sm.upf
ATOMIC_POSITIONS crystal
Mg 0.7109 0.7109 0.8674
Y 0.8445 0.8445 0.4665
Ho 0.5726 0.5726 0.2821
Ho 0.4274 0.4274 0.7179
Y 0.1555 0.1555 0.5335
Sm 0.0000 0.0000 0.0000
Mg 0.2891 0.2891 0.1326
CELL_PARAMETERS angstrom
-4.8077 2.5814 -0.3527
-3.9261 -1.9657 -3.2595
-5.7265 -4.2108 4.8500
```